# SiNiGe, relaxed, DFT PBE
# Spin magnetization = 0.001 μB per cell
# Distance to the lowest polymorph of the same formula = 0 meV/atom
# Calculated volume = 14.66 Å³ per atom
data_SiNiGe
_chemical_formula_sum 'Si4 Ni4 Ge4'
_space_group_name_H-M_alt 'F -4 3 m'
_space_group_IT_number 216
_space_group_name_Hall 'F -4 2 3'
_cell_length_a 5.6033
_cell_length_b 5.6033
_cell_length_c 5.6033
_cell_angle_alpha 90.00
_cell_angle_beta 90.00
_cell_angle_gamma 90.00
loop_
_atom_site_label
_atom_site_type_symbol
_atom_site_fract_x
_atom_site_fract_y
_atom_site_fract_z
_atom_site_occupancy
Si1 Si 0.0000 0.0000 0.0000 1
Ni1 Ni 0.2500 0.2500 0.7500 1
Ge1 Ge 0.0000 0.0000 0.5000 1